1.
The following is a DFT calculation (PBE) of an optimized crystal structure of Rb3Na3CdBr8.

Geometry as POSCAR:
```
Rb3Na3CdBr8
1.0
8.845 0.000 0.000
-4.423 7.673 -0.028
0.000 -5.090 7.918
Br Na Cd Rb
8 3 1 3
Direct
0.738 0.475 0.712
0.755 0.977 0.698
0.245 0.023 0.302
0.222 0.977 0.698
0.778 0.023 0.302
0.262 0.525 0.288
0.779 0.557 0.302
0.221 0.443 0.698
0.500 0.500 0.500
0.000 0.500 0.500
0.500 0.000 0.500
0.000 0.000 0.500
0.500 0.500 0.000
0.000 0.000 0.000
0.000 0.500 0.000
```

The magnetic moment is 0.0 μB per cell. Its uncorrected formation energy is -1.4835 eV per atom.


2.
The following is a DFT calculation (PBE) of an optimized crystal structure of CaPt2Rh.

Geometry as POSCAR:
```
CaPt2Rh
1.0
4.945 -0.006 0.000
-1.586 4.683 0.000
0.000 0.000 2.901
Pt Ca Rh
2 1 1
Direct
0.000 0.000 0.000
0.500 0.500 0.000
0.000 0.500 0.500
0.500 0.000 0.500
```

The value obtained for the calculated formation energy is -0.413 eV per atom. The magnetic moment is 0.0 μB per cell.


3.
The following is a DFT calculation (PBE) of an optimized crystal structure of PaNiPd.

Geometry as POSCAR:
```
PaNiPd
1.0
3.508 0.000 0.000
0.000 3.508 0.000
-1.754 -1.754 4.437
Pd Ni Pa
1 1 1
Direct
0.330 0.330 0.660
0.663 0.663 0.326
0.007 0.007 0.014
```

The value obtained for the calculated formation energy is -0.377 eV per atom. The magnetic moment is 0.0 μB per cell. Its distance to the lowest polymorph of the same formula is 147.8 meV per atom.


4.
The following is a DFT calculation (PBE) of an optimized crystal structure of Hf3ReF.

Geometry as POSCAR:
```
Hf3ReF
1.0
4.433 0.000 0.000
0.000 4.433 0.000
0.000 0.000 4.433
Hf Re F
3 1 1
Direct
0.500 0.000 0.000
0.000 0.000 0.500
0.000 0.500 0.000
0.500 0.500 0.500
0.000 0.000 0.000
```

The magnetic moment is 0.0 μB per cell. Its distance to the lowest polymorph of the same formula is 0.0 meV per atom. Its uncorrected formation energy is -0.3162 eV per atom.


5.
The following is a DFT calculation (PBE) of an optimized crystal structure of Ba2Bi3Pt.

Geometry as POSCAR:
```
Ba2Bi3Pt
1.0
-1.035 -4.724 -0.440
4.851 -3.804 2.638
-4.593 -1.996 5.435
Bi Ba Pt
3 2 1
Direct
0.177 0.753 0.893
0.753 0.255 0.238
0.951 0.512 0.586
0.527 0.158 0.787
0.420 0.842 0.318
0.172 0.479 0.177
```

The value obtained for the calculated formation energy is -0.661 eV per atom. The magnetic moment is 0.0 μB per cell. Its distance to the lowest polymorph of the same formula is 0.0 meV per atom.